Pm4Pr2Nd2Y: optimized geometry, PBE.

Geometry as extended XYZ:
```
9
Lattice="3.695 0.000 0.000 -1.848 9.573 -0.517 0.000 -3.775 9.092" Properties=species:S:1:pos:R:3 pbc="T T T"
Nd 0.000 0.311 5.903
Nd 1.848 5.487 2.673
Pm 1.848 -0.899 2.990
Pm 0.000 6.697 5.586
Pm 0.000 2.284 2.839
Pm 1.848 3.515 5.737
Pr 0.000 6.403 -0.344
Pr 1.848 -0.604 8.920
Y 0.000 0.000 0.000
```

## Properties
Its crystal system is monoclinic. The density of states at the Fermi level is 11.9 states/eV/f.u. As for the total energy: -0.18157 hartree per atom.


PmPrNd2Y2: optimized geometry, PBE.

Geometry as extended XYZ:
```
12
Lattice="3.437 0.000 0.000 0.000 6.696 0.000 0.000 0.000 18.312" Properties=species:S:1:pos:R:3 pbc="T T T"
Y 0.000 1.872 2.725
Y 0.000 4.824 15.587
Y 1.718 5.220 6.431
Y 1.718 1.476 11.881
Pm 0.000 0.000 9.156
Pm 1.718 3.348 0.000
Nd 1.718 1.851 5.765
Nd 1.718 4.845 12.546
Nd 0.000 1.497 14.921
Nd 0.000 5.199 3.390
Pr 0.000 0.000 0.000
Pr 1.718 3.348 9.156
```

## Properties
Its crystal system is orthorhombic. The density of states at the Fermi level is 11.1 states/eV/f.u. As for the total energy: -0.18619 hartree per atom.


PmPrNd2Y6: optimized geometry, PBE.

Geometry as extended XYZ:
```
20
Lattice="9.400 -2.208 -2.291 0.692 8.582 -1.975 0.692 -2.291 8.503" Properties=species:S:1:pos:R:3 pbc="T T T"
Y 9.655 4.884 -1.681
Y 1.935 4.628 2.519
Y 4.955 -0.757 5.964
Y 4.149 2.841 0.665
Y 1.129 -0.802 5.918
Y 8.849 -0.545 1.718
Y 6.842 -2.633 3.267
Y 5.829 4.840 -1.727
Y 2.141 4.466 -1.365
Y 6.635 1.242 3.572
Y 8.643 -0.384 5.602
Y 3.943 6.716 0.970
Pm 7.742 2.517 0.556
Pm 3.042 1.566 3.681
Pr 3.042 7.841 -2.366
Pr 7.742 -3.759 6.603
Nd 5.447 -0.225 0.826
Nd 10.037 2.145 3.285
Nd 5.337 4.307 3.411
Nd 0.747 1.938 0.952
```

## Properties
Its crystal system is monoclinic. The density of states at the Fermi level is 16.0 states/eV/f.u. As for the total energy: -0.20840 hartree per atom.


PmPrNdY: optimized geometry, PBE.

Geometry as extended XYZ:
```
4
Lattice="-1.510 4.306 -2.440 -4.598 -0.266 2.377 4.898 0.829 3.918" Properties=species:S:1:pos:R:3 pbc="T T T"
Nd 1.643 2.539 3.462
Pm -1.411 4.559 3.431
Pr -1.577 0.982 2.709
Y -0.034 3.267 0.299
```

## Properties
Its crystal system is tetragonal. The density of states at the Fermi level is 6.1 states/eV/f.u. As for the total energy: -0.19023 hartree per atom.